VASP calculation (GGA-PBE) on a geometry-optimized TaW2N structure.

It has space group C2/c (No. 15), with a = 9.0749 Å, b = 5.0990 Å, c = 5.7424 Å, α = 90.00°, β = 122.77° and γ = 90.00°. The inequivalent atoms are Ta at (0.0000, 0.0574, 0.2500), W at (0.1566, 0.4303, 0.7278) and N at (0.2500, 0.2500, 0.5000).

The raw formation energy comes out at -1.0 eV/f.u. As for the magnetic moment: 0.0 μB/f.u.

***

VASP calculation (GGA-PBE) on a geometry-optimized HAuO2 structure.

It has space group P-1 (No. 2), with a = 4.1541 Å, b = 4.7214 Å, c = 5.4929 Å, α = 92.62°, β = 90.44° and γ = 115.00°. The inequivalent atoms are H at (0.0731, 0.0192, 0.2514), Au at (0.0000, 0.5000, 0.5000), Au at (0.5000, 0.5000, 0.0000), O at (0.0469, 0.2768, 0.7953) and O at (0.2416, 0.2804, 0.2971).

As for the magnetic moment: 0.0 μB/f.u. The polymorph energy (0 for the lowest one) comes out at 0 meV/atom.

***

VASP calculation (GGA-PBE) on a geometry-optimized MnTlNi2 structure.

It has space group Pm (No. 6), with a = 3.0021 Å, b = 4.0625 Å, c = 5.1862 Å, α = 90.00°, β = 106.67° and γ = 90.00°. The inequivalent atoms are Mn at (0.0000, 0.0000, 0.0000), Tl at (0.3108, 0.5000, 0.6201), Ni at (0.5703, 0.5000, 0.1424) and Ni at (0.7138, 0.0000, 0.4219).

As for the magnetic moment: 4.5 μB/f.u. The polymorph energy (0 for the lowest one) comes out at 97 meV/atom. The formation energy is 259 meV/atom.

***

VASP calculation (GGA-PBE) on a geometry-optimized ZrBPb2F structure.

It has space group P4/mmm (No. 123), with a = 4.8765 Å, b = 4.8765 Å, c = 4.6426 Å, α = 90.00°, β = 90.00° and γ = 90.00°. The inequivalent atoms are Zr at (0.0000, 0.0000, 0.0000), B at (0.0000, 0.0000, 0.5000), Pb at (0.0000, 0.5000, 0.5000) and F at (0.5000, 0.5000, 0.0000).

The raw formation energy comes out at 0.6 eV/f.u. As for the magnetic moment: 0.0 μB/f.u.

***

VASP calculation (GGA-PBE) on a geometry-optimized LaHo2Pt structure.

It has space group R-3m (No. 166, hexagonal axes), with a = 3.9281 Å, b = 3.9281 Å, c = 28.1731 Å, α = 90.00°, β = 90.00° and γ = 120.00°. The inequivalent atoms are La at (0.0000, 0.0000, 0.0000), Ho at (0.0000, 0.0000, 0.2242) and Pt at (0.0000, 0.0000, 0.5000).

As for the magnetic moment: 0.0 μB/f.u. The polymorph energy (0 for the lowest one) comes out at 161 meV/atom. The formation energy is -533 meV/atom.

***

VASP calculation (GGA-PBE) on a geometry-optimized KRhBr2 structure.

It has space group Fm-3m (No. 225), with a = 7.3438 Å, b = 7.3438 Å, c = 7.3438 Å, α = 90.00°, β = 90.00° and γ = 90.00°. The inequivalent atoms are K at (0.0000, 0.0000, 0.0000), Rh at (0.0000, 0.0000, 0.5000) and Br at (0.2500, 0.2500, 0.2500).

The raw formation energy comes out at -1.0 eV/f.u. As for the magnetic moment: 2.0 μB/f.u. The polymorph energy (0 for the lowest one) comes out at 378 meV/atom.

***

VASP calculation (GGA-PBE) on a geometry-optimized KYHf structure.

It has space group P1 (No. 1), with a = 3.3854 Å, b = 5.3905 Å, c = 13.5355 Å, α = 86.62°, β = 89.20° and γ = 72.55°. The inequivalent atoms are K at (0.0000, 0.0000, 0.0000), K at (0.4515, 0.4599, 0.2579), Y at (0.1518, 0.9413, 0.4671), Y at (0.3381, 0.5200, 0.7907), Hf at (0.6100, 0.9972, 0.6635) and Hf at (0.8798, 0.4641, 0.5943).

As for the magnetic moment: 0.0 μB/f.u. The polymorph energy (0 for the lowest one) comes out at 20 meV/atom. The formation energy is 333 meV/atom.

***

VASP calculation (GGA-PBE) on a geometry-optimized Nd3ThTe4 structure.

It has space group P6_3/mmc (No. 194), with a = 4.3686 Å, b = 4.3686 Å, c = 30.9545 Å, α = 90.00°, β = 90.00° and γ = 120.00°. The inequivalent atoms are Nd at (0.0000, 0.0000, 0.0000), Nd at (0.3333, 0.6667, 0.1237), Th at (0.3333, 0.6667, 0.7500), Te at (0.0000, 0.0000, 0.1865) and Te at (0.3333, 0.6667, 0.5620).

The raw formation energy comes out at -10.5 eV/f.u. As for the magnetic moment: 0.0 μB/f.u. The polymorph energy (0 for the lowest one) comes out at 5 meV/atom.

***

Question: Look up the magnetic moment of the second one.
Answer: 0.0 μB/f.u.